No. 1
Crystalline CeVFeP2 at its relaxed geometry, computed with PBE.

Geometry as POSCAR:
```
CeVFeP2
1.0
3.817 0.000 0.000
0.000 3.817 0.000
-1.909 -1.909 5.495
V P Fe Ce
1 2 1 1
direct
0.750 0.250 0.500 V
0.632 0.632 0.264 P
0.368 0.368 0.736 P
0.250 0.750 0.500 Fe
0.000 0.000 0.000 Ce
```

Properties
spin magnetization = 2.5 Bohr magnetons per cell
formation energy from the elements = -0.909 eV/atom

***

No. 2
Crystalline CeFeP2W at its relaxed geometry, computed with PBE.

Geometry as POSCAR:
```
CeFeP2W
1.0
-0.433 -2.884 2.480
1.390 -2.444 -2.598
4.883 3.583 2.063
P W Fe Ce
2 1 1 1
direct
0.371 0.371 0.743 P
0.629 0.629 0.257 P
0.250 0.750 0.500 W
0.750 0.250 0.500 Fe
0.000 0.000 0.000 Ce
```

Properties
spin magnetization = 2.6 Bohr magnetons per cell
formation energy from the elements = -0.669 eV/atom

***

No. 3
Crystalline CePa2Fe at its relaxed geometry, computed with PBE.

Geometry as POSCAR:
```
CePa2Fe
1.0
4.110 0.000 0.000
2.055 3.559 0.000
2.055 1.186 5.821
Pa Ce Fe
2 1 1
direct
0.261 0.261 0.217 Pa
0.739 0.739 0.783 Pa
0.500 0.500 0.500 Ce
0.000 0.000 0.000 Fe
```

Properties
spin magnetization = 0.0 Bohr magnetons per cell
formation energy from the elements = 0.118 eV/atom

***

No. 4
Crystalline CePa3Fe at its relaxed geometry, computed with PBE.

Geometry as POSCAR:
```
CePa3Fe
1.0
5.046 0.000 0.000
0.000 5.046 0.000
0.000 0.000 5.046
Pa Ce Fe
3 1 1
direct
0.500 0.000 0.000 Pa
0.000 0.500 0.000 Pa
0.000 0.000 0.500 Pa
0.500 0.500 0.500 Ce
0.000 0.000 0.000 Fe
```

Properties
spin magnetization = 0.0 Bohr magnetons per cell
formation energy from the elements = 0.219 eV/atom

***

No. 5
Crystalline Ce2PaFe at its relaxed geometry, computed with PBE.

Geometry as POSCAR:
```
Ce2PaFe
1.0
4.779 0.009 0.203
2.393 2.382 0.203
0.306 0.212 7.942
Ce Fe Pa
2 1 1
direct
0.881 0.024 0.556 Ce
0.382 0.049 0.243 Ce
0.875 0.973 0.975 Fe
0.374 0.951 0.838 Pa
```

Properties
spin magnetization = 0.0 Bohr magnetons per cell
formation energy from the elements = -0.019 eV/atom

***

No. 6
Crystalline CePa2Fe9 at its relaxed geometry, computed with PBE.

Geometry as POSCAR:
```
CePa2Fe9
1.0
-3.590 -1.757 -2.756
0.527 -4.277 -2.236
-4.261 -5.922 5.052
Pa Fe Ce
2 9 1
direct
0.142 0.142 0.575 Pa
0.858 0.858 0.425 Pa
0.581 0.081 0.756 Fe
0.919 0.419 0.244 Fe
0.667 0.667 0.999 Fe
0.419 0.919 0.244 Fe
0.500 0.500 0.500 Fe
0.419 0.419 0.244 Fe
0.581 0.581 0.756 Fe
0.081 0.581 0.756 Fe
0.333 0.333 0.001 Fe
0.000 0.000 0.000 Ce
```

Properties
spin magnetization = 4.1 Bohr magnetons per cell
formation energy from the elements = -0.070 eV/atom